VASP calculation (GGA-PBE) on LiIn2CuPb after structural relaxation.

Calculated values
Magnetic moment: 0.00 μB per cell
Calculated total energy: -14.89 eV/cell

a = 5.043 Å, b = 5.043 Å, c = 4.899 Å
α = 90.00°, β = 90.00°, γ = 90.00°
Atoms (fractional coordinates):
Pb1 0.500 0.500 0.500
Li1 0.000 0.000 0.500
Cu1 0.000 0.000 0.000
In1 0.000 0.500 0.000
In2 0.500 0.000 0.000